[1]
An optimized crystal structure of LiTm2Zn6, computed with GGA-PBE.

Structure (CIF):
```
data_LiTm2Zn6
_chemical_formula_sum 'Li1 Tm2 Zn6'
_symmetry_space_group_name_H-M 'P 1'
_symmetry_Int_Tables_number 1
_cell_length_a 7.7425
_cell_length_b 7.7425
_cell_length_c 3.2232
_cell_angle_alpha 90.00
_cell_angle_beta 90.00
_cell_angle_gamma 120.00
loop_
_symmetry_equiv_pos_as_xyz
'x,y,z'
loop_
_atom_site_label
_atom_site_fract_x
_atom_site_fract_y
_atom_site_fract_z
Li1 0.0000 0.0000 0.0000
Tm1 0.3333 0.6667 0.0000
Tm2 0.6667 0.3333 0.0000
Zn1 0.0000 0.3262 0.5000
Zn2 0.0000 0.6738 0.5000
Zn3 0.3262 0.0000 0.5000
Zn4 0.3262 0.3262 0.5000
Zn5 0.6738 0.0000 0.5000
Zn6 0.6738 0.6738 0.5000
```

Results
**Magnetization**: 0.0 μB/f.u.
**DFT total energy**: -21.0 eV/cell


[2]
An optimized crystal structure of Li3PuPd4, computed with GGA-PBE.

Structure (CIF):
```
data_Li3PuPd4
_chemical_formula_sum 'Li3 Pu1 Pd4'
_symmetry_space_group_name_H-M 'P 1'
_symmetry_Int_Tables_number 1
_cell_length_a 4.2799
_cell_length_b 4.2799
_cell_length_c 6.8799
_cell_angle_alpha 90.00
_cell_angle_beta 90.00
_cell_angle_gamma 90.00
loop_
_symmetry_equiv_pos_as_xyz
'x,y,z'
loop_
_atom_site_label
_atom_site_fract_x
_atom_site_fract_y
_atom_site_fract_z
Li1 0.0000 0.0000 0.0000
Li2 0.0000 0.0000 0.5000
Li3 0.5000 0.5000 0.0000
Pu1 0.5000 0.5000 0.5000
Pd1 0.0000 0.5000 0.2273
Pd2 0.0000 0.5000 0.7727
Pd3 0.5000 0.0000 0.2273
Pd4 0.5000 0.0000 0.7727
```

Results
**Magnetization**: 5.1 μB/f.u.
**DFT total energy**: -44.3 eV/cell


What did the first record say?
An optimized crystal structure of LiTm2Zn6, computed with GGA-PBE.

Structure (CIF):
```
data_LiTm2Zn6
_chemical_formula_sum 'Li1 Tm2 Zn6'
_symmetry_space_group_name_H-M 'P 1'
_symmetry_Int_Tables_number 1
_cell_length_a 7.7425
_cell_length_b 7.7425
_cell_length_c 3.2232
_cell_angle_alpha 90.00
_cell_angle_beta 90.00
_cell_angle_gamma 120.00
loop_
_symmetry_equiv_pos_as_xyz
'x,y,z'
loop_
_atom_site_label
_atom_site_fract_x
_atom_site_fract_y
_atom_site_fract_z
Li1 0.0000 0.0000 0.0000
Tm1 0.3333 0.6667 0.0000
Tm2 0.6667 0.3333 0.0000
Zn1 0.0000 0.3262 0.5000
Zn2 0.0000 0.6738 0.5000
Zn3 0.3262 0.0000 0.5000
Zn4 0.3262 0.3262 0.5000
Zn5 0.6738 0.0000 0.5000
Zn6 0.6738 0.6738 0.5000
```

Results
**Magnetization**: 0.0 μB/f.u.
**DFT total energy**: -21.0 eV/cell